# 1
A plane-wave DFT calculation with PBE-GGA was carried out for a geometry-optimized AlSiPtAu structure. Values from VASP.

Results
Offset from the most stable computed form in kJ per mole of atoms: 21.01

Cell and atoms, written as Quantum ESPRESSO input:
```
&SYSTEM
  ibrav = 0, nat = 4, ntyp = 4
/
ATOMIC_SPECIES
Al 26.98 Al.upf
Si 28.09 Si.upf
Pt 195.08 Pt.upf
Au 196.97 Au.upf
CELL_PARAMETERS angstrom
0.000 3.194 3.194
3.194 0.000 3.194
3.194 3.194 0.000
ATOMIC_POSITIONS angstrom
Al 0.000 0.000 0.000
Si 4.791 4.791 4.791
Pt 3.194 3.194 3.194
Au 1.597 1.597 1.597
```

# 2
A plane-wave DFT calculation with PBE-GGA was carried out for a geometry-optimized ZnFeSnW structure. Values from VASP.

Results
Offset from the most stable computed form in kJ per mole of atoms: 3.66

Cell and atoms, written as Quantum ESPRESSO input:
```
&SYSTEM
  ibrav = 0, nat = 4, ntyp = 4
/
ATOMIC_SPECIES
Zn 65.41 Zn.upf
Fe 55.84 Fe.upf
Sn 118.71 Sn.upf
W 183.84 W.upf
CELL_PARAMETERS angstrom
0.000 3.158 3.158
3.158 0.000 3.158
3.158 3.158 0.000
ATOMIC_POSITIONS angstrom
Zn 0.000 0.000 0.000
Fe 4.736 4.736 4.736
Sn 3.158 3.158 3.158
W 1.579 1.579 1.579
```

# 3
A plane-wave DFT calculation with PBE-GGA was carried out for a geometry-optimized Hf2MgC3 structure. Values from VASP.

Results
E in eV per atom: -7.901

Cell and atoms, written as Quantum ESPRESSO input:
```
&SYSTEM
  ibrav = 0, nat = 6, ntyp = 3
/
ATOMIC_SPECIES
Hf 178.49 Hf.upf
Mg 24.30 Mg.upf
C 12.01 C.upf
CELL_PARAMETERS angstrom
5.614 0.000 0.000
-2.807 4.862 0.000
0.000 0.000 3.162
ATOMIC_POSITIONS angstrom
Hf 0.000 3.241 0.000
Hf 2.807 1.621 0.000
Mg 0.000 0.000 0.000
C -1.404 2.431 1.581
C 2.807 0.000 1.581
C 1.404 2.431 1.581
```

# 4
A plane-wave DFT calculation with PBE-GGA was carried out for a geometry-optimized Dy2Er3Ga3 structure. Values from VASP.

Results
Offset from the most stable computed form in kJ per mole of atoms: 10.47

Cell and atoms, written as Quantum ESPRESSO input:
```
&SYSTEM
  ibrav = 0, nat = 8, ntyp = 3
/
ATOMIC_SPECIES
Dy 162.50 Dy.upf
Er 167.26 Er.upf
Ga 69.72 Ga.upf
CELL_PARAMETERS angstrom
5.438 0.000 0.000
0.000 3.614 5.119
0.000 -3.614 5.119
ATOMIC_POSITIONS angstrom
Dy 0.000 0.000 0.000
Dy 2.719 0.000 4.201
Er 0.000 -1.815 7.629
Er 0.000 1.815 7.629
Er 2.719 0.000 8.296
Ga 0.000 0.000 5.276
Ga 2.719 -2.334 6.257
Ga 2.719 2.334 6.257
```

| no. | total magnetic moment (μB per cell) |
| --- | --- |
| 1 | 0.0 |
| 2 | 2.6 |
| 3 | 0.0 |
| 4 | 0.0 |